Computed, not measured: a relaxed TaAlRe crystal at the PBE level of DFT. Values from VASP.

calculated density: 13566 kg/m3
E_form: -90.0 meV per atom
offset from the most stable computed form: 145 meV/atom

```
&SYSTEM
  ibrav = 0, nat = 3, ntyp = 3
/
ATOMIC_SPECIES
Al 26.98 Al.upf
Ta 180.95 Ta.upf
Re 186.21 Re.upf
ATOMIC_POSITIONS angstrom
Al -0.0232 -0.0313 0.0060
Ta -1.6442 -2.2187 0.4253
Re -3.2443 -4.3777 0.8391
CELL_PARAMETERS angstrom
-2.8542 -3.4922 -1.8320
-2.0581 -3.1364 3.1025
0.4722 4.6373 -1.4040
```